No. 1
Material: TlCoCuAu
Method: DFT, PBE
State: optimized geometry

The offset from the most stable computed form comes out at 0.00 eV per formula unit. The spin magnetization is 0.92 μB per formula unit.

It has space group F-43m (No. 216), with a = 6.333 Å, b = 6.333 Å, c = 6.333 Å, α = 90.00°, β = 90.00° and γ = 90.00°. The distinct sites, in fractional coordinates, are Tl at (0.000, 0.000, 0.000), Co at (0.250, 0.250, 0.250), Cu at (0.250, 0.250, 0.750) and Au at (0.000, 0.000, 0.500).

=====

No. 2
Material: SrNbPd
Method: DFT, PBE
State: optimized geometry

The offset from the most stable computed form comes out at 2.30 eV per formula unit. The spin magnetization is 3.53 μB per formula unit.

It has space group F-43m (No. 216), with a = 6.962 Å, b = 6.962 Å, c = 6.962 Å, α = 90.00°, β = 90.00° and γ = 90.00°. The distinct sites, in fractional coordinates, are Sr at (0.000, 0.000, 0.000), Nb at (0.250, 0.250, 0.750) and Pd at (0.250, 0.250, 0.250).